# TaCrCd2

A relaxed structure of TaCrCd2 (PBE, Alexandria).

Cell lengths 9.9654, 9.9654, 9.9654 Å; angles 17.24, 17.24, 17.24 degrees
With the nearest neighbours (Å) after each atom.
Sites, in units of the cell vectors:
1 Ta 0.0000 0.0000 0.0000  6 Ta 2.99, 6 Cd 3.09
2 Cr 0.5000 0.5000 0.5000  6 Cd 2.91, 6 Cr 2.99
3 Cd 0.2462 0.2462 0.2462  3 Cr 2.91, 6 Cd 2.99, 3 Ta 3.09
4 Cd 0.7538 0.7538 0.7538  3 Cr 2.91, 6 Cd 2.99, 3 Ta 3.09

Properties
Calculated formation energy (eV/atom): 0.50
Energy (eV/cell): -21.3
Total magnetization (μB per formula unit): 3.293
SG: R-3m
Offset from the most stable computed form (meV/atom): 218

# GeIrPtN2

A relaxed structure of GeIrPtN2 (PBE, Alexandria).

Cell lengths 3.7225, 3.7225, 5.1348 Å; angles 90.00, 90.00, 90.00 degrees
With the nearest neighbours (Å) after each atom.
Sites, in units of the cell vectors:
1 Ge 0.0000 0.0000 0.0000  4 N 1.86
2 Ir 0.0000 0.0000 0.5000  2 Ge 2.57, 4 Pt 2.63
3 Pt 0.5000 0.5000 0.5000  4 Ir 2.63
4 N 0.0000 0.5000 0.0000  2 Ge 1.86
5 N 0.5000 0.0000 0.0000  2 Ge 1.86

Properties
Energy (eV/cell): -27.8
Total magnetization (μB per formula unit): 0.197
Raw formation energy (eV per formula unit): 8.40
SG: P4/mmm
Offset from the most stable computed form (meV/atom): 867

# Ca2LaRe

A relaxed structure of Ca2LaRe (PBE, Alexandria).

Cell lengths 6.2141, 6.2141, 3.1293 Å; angles 90.00, 90.00, 120.79 degrees
With the nearest neighbours (Å) after each atom.
Sites, in units of the cell vectors:
1 Ca 0.0000 0.5000 0.0000  4 Ca 3.07-3.13
2 Ca 0.5000 0.0000 0.0000  4 Ca 3.07-3.13
3 La 0.0000 0.0000 0.5000  2 Re 3.07, 2 La 3.13
4 Re 0.5000 0.5000 0.5000  2 La 3.07, 2 Re 3.13

Properties
Calculated formation energy (eV/atom): 0.77
Energy (eV/cell): -18.3
Total magnetization (μB per formula unit): 0.037
SG: Cmmm
Offset from the most stable computed form (meV/atom): 361

# Cs2NbPdS4

A relaxed structure of Cs2NbPdS4 (PBE, Alexandria).

Cell lengths 14.1670, 12.4961, 7.8510 Å; angles 85.00, 61.49, 33.51 degrees
With the nearest neighbours (Å) after each atom.
Sites, in units of the cell vectors:
1 Cs 0.0502 0.0502 0.6998  8 S 3.65-3.82
2 Cs 0.3002 0.3002 0.9498  8 S 3.65-3.82
3 Cs 0.6998 0.6998 0.0502  8 S 3.65-3.82
4 Cs 0.9498 0.9498 0.3002  8 S 3.65-3.82
5 Nb 0.3750 0.3750 0.3750  4 S 2.32
6 Nb 0.6250 0.6250 0.6250  4 S 2.32
7 Pd 0.1250 0.1250 0.1250  4 S 2.43
8 Pd 0.8750 0.8750 0.8750  4 S 2.43
9 S 0.0061 0.3475 0.4340  1 Nb 2.32, 1 Pd 2.43
10 S 0.2876 0.5660 0.6525  1 Nb 2.32, 1 Pd 2.43
11 S 0.3475 0.0061 0.7124  1 Nb 2.32, 1 Pd 2.43
12 S 0.4340 0.7124 0.0061  1 Nb 2.32, 1 Pd 2.43
13 S 0.5660 0.2876 0.9939  1 Nb 2.32, 1 Pd 2.43
14 S 0.6525 0.9939 0.2876  1 Nb 2.32, 1 Pd 2.43
15 S 0.7124 0.4340 0.3475  1 Nb 2.32, 1 Pd 2.43
16 S 0.9939 0.6525 0.5660  1 Nb 2.32, 1 Pd 2.43

Properties
Energy (eV/cell): -83.3
Total magnetization (μB per formula unit): 0.464
Raw formation energy (eV per formula unit): -8.18
SG: Fddd